No. 1
VASP calculation (PBE-GGA) on an optimized crystal structure of LiLaY2Au4.

Summary:
- M_tot (μB per atom) = 0.000
- ΔH_f (0 K) (kJ/mol of formula units) = -579
- crystal system = trigonal

Cell: 5.0218 5.0218 25.6456 Å, 90.00 90.00 120.00°
Space group R-3m (No. 166, hexagonal axes)
Asymmetric unit:
Li1 0.0000 0.0000 0.0000
La1 0.0000 0.0000 0.5000
Y1 0.0000 0.0000 0.2635
Au1 0.0000 0.0000 0.1080
Au2 0.0000 0.0000 0.3793

No. 2
VASP calculation (PBE-GGA) on an optimized crystal structure of CaMg2ZnAg4.

Summary:
- M_tot (μB per atom) = 0.000
- ΔH_f (0 K) (kJ/mol of formula units) = -135
- crystal system = trigonal

Cell: 4.7138 4.7138 25.0125 Å, 90.00 90.00 120.00°
Space group R-3m (No. 166, hexagonal axes)
Asymmetric unit:
Ca1 0.0000 0.0000 0.0000
Mg1 0.0000 0.0000 0.2434
Zn1 0.0000 0.0000 0.5000
Ag1 0.0000 0.0000 0.1291
Ag2 0.0000 0.0000 0.3942

No. 3
VASP calculation (PBE-GGA) on an optimized crystal structure of Si2PdC.

Summary:
- M_tot (μB per atom) = 0.000
- formation energy (no corrections) (meV/atom) = 7
- crystal system = tetragonal

Cell: 5.355 5.355 7.678 Å, 90.00 90.00 90.00°
Space group I-42d (No. 122)
Asymmetric unit:
Si1 0.173 0.250 0.125
Pd1 0.000 0.000 0.500
C1 0.000 0.000 0.000

no.,raw total energy (eV/atom)
1,-4.860
2,-2.408
3,-6.308